Record 1
A crystal of NaLi2Pb relaxed with PBEsol. Source: Alexandria, functional meta-GGA SCAN.

The structure in CIF format:
```
data_NaLi2Pb
_chemical_formula_sum 'Na4 Li8 Pb4'
_cell_length_a 6.9531
_cell_length_b 6.9531
_cell_length_c 6.9531
_cell_angle_alpha 90.00
_cell_angle_beta 90.00
_cell_angle_gamma 90.00
_symmetry_space_group_name_H-M 'F m -3 m'
_symmetry_Int_Tables_number 225
_symmetry_space_group_name_Hall '-F 4 2 3'
loop_
_atom_site_label
_atom_site_fract_x
_atom_site_fract_y
_atom_site_fract_z
Na1 0.0000 0.0000 0.0000
Li1 0.2500 0.2500 0.2500
Pb1 0.0000 0.0000 0.5000
```

- raw total energy (hartree per atom) = -0.79260
- crystal system = cubic


Record 2
A crystal of Na2LiPb relaxed with PBEsol. Source: Alexandria, functional meta-GGA SCAN.

The structure in CIF format:
```
data_Na2LiPb
_chemical_formula_sum 'Na8 Li4 Pb4'
_cell_length_a 4.3714
_cell_length_b 4.3714
_cell_length_c 22.6431
_cell_angle_alpha 90.00
_cell_angle_beta 90.00
_cell_angle_gamma 90.00
_symmetry_space_group_name_H-M 'I -4 2 d'
_symmetry_Int_Tables_number 122
_symmetry_space_group_name_Hall 'I -4 2bw'
loop_
_atom_site_label
_atom_site_fract_x
_atom_site_fract_y
_atom_site_fract_z
Na1 0.2441 0.2500 0.1250
Li1 0.0000 0.0000 0.5000
Pb1 0.0000 0.0000 0.0000
```

- raw total energy (hartree per atom) = -0.79970
- crystal system = tetragonal


Computed energy relative to the elements, in the same sequence as the records: -0.3738, -0.1108 eV/atom.